Here is an optimized crystal structure of CsSrRe from OQMD via LeMat-Bulk. Energies are from PBE.

Output
As for the energy relative to the lowest polymorph listed for this composition: 0.98 eV per formula unit. The value obtained for the total energy is -2.869 eV/atom.

Structure (CIF):
```
data_CsSrRe
_chemical_formula_sum 'Cs4 Sr4 Re4'
_symmetry_space_group_name_H-M 'F -4 3 m'
_symmetry_Int_Tables_number 216
_symmetry_space_group_name_Hall 'F -4 2 3'
_cell_length_a 7.5459
_cell_length_b 7.5459
_cell_length_c 7.5459
_cell_angle_alpha 90.00
_cell_angle_beta 90.00
_cell_angle_gamma 90.00
loop_
_atom_site_label
_atom_site_type_symbol
_atom_site_fract_x
_atom_site_fract_y
_atom_site_fract_z
Cs1 Cs 0.0000 0.0000 0.0000
Sr1 Sr 0.2500 0.2500 0.2500
Re1 Re 0.2500 0.2500 0.7500
```


Here is an optimized crystal structure of ScZn from OQMD via LeMat-Bulk. Energies are from PBE.

Output
The formation energy is -0.144 eV/atom. The value obtained for the total energy is -3.941 eV/atom.

Structure (CIF):
```
data_ScZn
_chemical_formula_sum 'Sc12 Zn12'
_symmetry_space_group_name_H-M 'P b c m'
_symmetry_Int_Tables_number 57
_symmetry_space_group_name_Hall '-P 2c 2b'
_cell_length_a 6.7693
_cell_length_b 15.8061
_cell_length_c 4.3051
_cell_angle_alpha 90.00
_cell_angle_beta 90.00
_cell_angle_gamma 90.00
loop_
_atom_site_label
_atom_site_type_symbol
_atom_site_fract_x
_atom_site_fract_y
_atom_site_fract_z
Sc1 Sc 0.0179 0.1707 0.2500
Sc2 Sc 0.1327 0.0264 0.7500
Sc3 Sc 0.4286 0.0667 0.2500
Zn1 Zn 0.2724 0.6087 0.7500
Zn2 Zn 0.3136 0.1922 0.7500
Zn3 Zn 0.3708 0.7145 0.2500
```


Here is an optimized crystal structure of Tl2TcAs from OQMD via LeMat-Bulk. Energies are from PBE.

Output
The value obtained for the total energy is -4.142 eV/atom.

Structure (CIF):
```
data_Tl2TcAs
_chemical_formula_sum 'Tl8 Tc4 As4'
_symmetry_space_group_name_H-M 'F -4 3 m'
_symmetry_Int_Tables_number 216
_symmetry_space_group_name_Hall 'F -4 2 3'
_cell_length_a 6.9950
_cell_length_b 6.9950
_cell_length_c 6.9950
_cell_angle_alpha 90.00
_cell_angle_beta 90.00
_cell_angle_gamma 90.00
loop_
_atom_site_label
_atom_site_type_symbol
_atom_site_fract_x
_atom_site_fract_y
_atom_site_fract_z
Tl1 Tl 0.0000 0.0000 0.0000
Tl2 Tl 0.2500 0.2500 0.2500
Tc1 Tc 0.0000 0.0000 0.5000
As1 As 0.2500 0.2500 0.7500
```


Here is an optimized crystal structure of PrPuSi from OQMD via LeMat-Bulk. Energies are from PBE.

Output
As for the energy relative to the lowest polymorph listed for this composition: 0.00 eV per formula unit. The value obtained for the total energy is -8.303 eV/atom.

Structure (CIF):
```
data_PrPuSi
_chemical_formula_sum 'Pr4 Pu4 Si4'
_symmetry_space_group_name_H-M 'F -4 3 m'
_symmetry_Int_Tables_number 216
_symmetry_space_group_name_Hall 'F -4 2 3'
_cell_length_a 6.8432
_cell_length_b 6.8432
_cell_length_c 6.8432
_cell_angle_alpha 90.00
_cell_angle_beta 90.00
_cell_angle_gamma 90.00
loop_
_atom_site_label
_atom_site_type_symbol
_atom_site_fract_x
_atom_site_fract_y
_atom_site_fract_z
Pr1 Pr 0.0000 0.0000 0.0000
Pu1 Pu 0.0000 0.0000 0.5000
Si1 Si 0.2500 0.2500 0.2500
```


Here is an optimized crystal structure of K2FeAsBr6 from OQMD via LeMat-Bulk. Energies are from PBE.

Output
The value obtained for the total energy is -3.326 eV/atom.

Structure (CIF):
```
data_K2FeAsBr6
_chemical_formula_sum 'K8 Fe4 As4 Br24'
_symmetry_space_group_name_H-M 'F m -3 m'
_symmetry_Int_Tables_number 225
_symmetry_space_group_name_Hall '-F 4 2 3'
_cell_length_a 10.7299
_cell_length_b 10.7299
_cell_length_c 10.7299
_cell_angle_alpha 90.00
_cell_angle_beta 90.00
_cell_angle_gamma 90.00
loop_
_atom_site_label
_atom_site_type_symbol
_atom_site_fract_x
_atom_site_fract_y
_atom_site_fract_z
K1 K 0.2500 0.2500 0.2500
Fe1 Fe 0.0000 0.0000 0.0000
As1 As 0.0000 0.0000 0.5000
Br1 Br 0.0000 0.0000 0.2437
```


Here is an optimized crystal structure of Tm2GaOs3 from OQMD via LeMat-Bulk. Energies are from PBE.

Output
The value obtained for the total energy is -7.990 eV/atom.

Structure (CIF):
```
data_Tm2GaOs3
_chemical_formula_sum 'Tm4 Ga2 Os6'
_symmetry_space_group_name_H-M 'P 63/m m c'
_symmetry_Int_Tables_number 194
_symmetry_space_group_name_Hall '-P 6c 2c'
_cell_length_a 5.3629
_cell_length_b 5.3629
_cell_length_c 8.5671
_cell_angle_alpha 90.00
_cell_angle_beta 90.00
_cell_angle_gamma 120.00
loop_
_atom_site_label
_atom_site_type_symbol
_atom_site_fract_x
_atom_site_fract_y
_atom_site_fract_z
Tm1 Tm 0.3333 0.6667 0.0679
Ga1 Ga 0.0000 0.0000 0.0000
Os1 Os 0.1722 0.3445 0.7500
```


Here is an optimized crystal structure of TbCuNi from OQMD via LeMat-Bulk. Energies are from PBE.

Output
The formation energy is -0.118 eV/atom. The value obtained for the total energy is -4.756 eV/atom.

Structure (CIF):
```
data_TbCuNi
_chemical_formula_sum 'Tb4 Cu4 Ni4'
_symmetry_space_group_name_H-M 'F -4 3 m'
_symmetry_Int_Tables_number 216
_symmetry_space_group_name_Hall 'F -4 2 3'
_cell_length_a 6.1072
_cell_length_b 6.1072
_cell_length_c 6.1072
_cell_angle_alpha 90.00
_cell_angle_beta 90.00
_cell_angle_gamma 90.00
loop_
_atom_site_label
_atom_site_type_symbol
_atom_site_fract_x
_atom_site_fract_y
_atom_site_fract_z
Tb1 Tb 0.0000 0.0000 0.0000
Cu1 Cu 0.0000 0.0000 0.5000
Ni1 Ni 0.2500 0.2500 0.7500
```


Here is an optimized crystal structure of Li3ErBiSb from OQMD via LeMat-Bulk. Energies are from PBE.

Output
The value obtained for the total energy is -3.803 eV/atom.

Structure (CIF):
```
data_Li3ErBiSb
_chemical_formula_sum 'Li3 Er1 Bi1 Sb1'
_symmetry_space_group_name_H-M 'P 3 m 1'
_symmetry_Int_Tables_number 156
_symmetry_space_group_name_Hall 'P 3 -2"'
_cell_length_a 4.5557
_cell_length_b 4.5557
_cell_length_c 7.1334
_cell_angle_alpha 90.00
_cell_angle_beta 90.00
_cell_angle_gamma 120.00
loop_
_atom_site_label
_atom_site_type_symbol
_atom_site_fract_x
_atom_site_fract_y
_atom_site_fract_z
Li1 Li 0.0000 0.0000 0.0000
Li2 Li 0.3333 0.6667 0.1491
Li3 Li 0.6667 0.3333 0.8476
Er1 Er 0.0000 0.0000 0.5081
Bi1 Bi 0.6667 0.3333 0.2575
Sb1 Sb 0.3333 0.6667 0.7501
```


Here is an optimized crystal structure of NaLuPO from OQMD via LeMat-Bulk. Energies are from PBE.

Output
As for the energy relative to the lowest polymorph listed for this composition: 0.00 eV per formula unit. The value obtained for the total energy is -5.702 eV/atom.

Structure (CIF):
```
data_NaLuPO
_chemical_formula_sum 'Na2 Lu2 P2 O2'
_symmetry_space_group_name_H-M 'P m c 21'
_symmetry_Int_Tables_number 26
_symmetry_space_group_name_Hall 'P 2c -2'
_cell_length_a 3.9116
_cell_length_b 6.2927
_cell_length_c 5.5345
_cell_angle_alpha 90.00
_cell_angle_beta 90.00
_cell_angle_gamma 90.00
loop_
_atom_site_label
_atom_site_type_symbol
_atom_site_fract_x
_atom_site_fract_y
_atom_site_fract_z
Na1 Na 0.0000 0.1261 0.0000
Lu1 Lu 0.5000 0.2568 0.4978
P1 P 0.0000 0.5000 0.2503
O1 O 0.5000 0.0010 0.2485
```


Here is an optimized crystal structure of Ho2Co12P7 from OQMD via LeMat-Bulk. Energies are from PBE.

Output
As for the energy relative to the lowest polymorph listed for this composition: 0.00 eV per formula unit. The value obtained for the total energy is -7.104 eV/atom.

Structure (CIF):
```
data_Ho2Co12P7
_chemical_formula_sum 'Ho2 Co12 P7'
_symmetry_space_group_name_H-M 'P -6'
_symmetry_Int_Tables_number 174
_symmetry_space_group_name_Hall 'P -6'
_cell_length_a 8.9838
_cell_length_b 8.9838
_cell_length_c 3.5688
_cell_angle_alpha 90.00
_cell_angle_beta 90.00
_cell_angle_gamma 120.00
loop_
_atom_site_label
_atom_site_type_symbol
_atom_site_fract_x
_atom_site_fract_y
_atom_site_fract_z
Ho1 Ho 0.0000 0.0000 0.0000
Ho2 Ho 0.3333 0.6667 0.5000
Co1 Co 0.0479 0.7679 0.5000
Co2 Co 0.1027 0.3930 0.0000
Co3 Co 0.3940 0.2138 0.0000
Co4 Co 0.5340 0.0969 0.5000
P1 P 0.0723 0.6257 0.0000
P2 P 0.2636 0.0413 0.5000
P3 P 0.6667 0.3333 0.0000
```


Here is an optimized crystal structure of NdTe from OQMD via LeMat-Bulk. Energies are from PBE.

Output
The value obtained for the total energy is -5.378 eV/atom.

Structure (CIF):
```
data_NdTe
_chemical_formula_sum 'Nd3 Te3'
_symmetry_space_group_name_H-M 'P -3 m 1'
_symmetry_Int_Tables_number 164
_symmetry_space_group_name_Hall '-P 3 2"'
_cell_length_a 4.4933
_cell_length_b 4.4933
_cell_length_c 11.0216
_cell_angle_alpha 90.00
_cell_angle_beta 90.00
_cell_angle_gamma 120.00
loop_
_atom_site_label
_atom_site_type_symbol
_atom_site_fract_x
_atom_site_fract_y
_atom_site_fract_z
Nd1 Nd 0.0000 0.0000 0.0000
Nd2 Nd 0.3333 0.6667 0.6662
Te1 Te 0.0000 0.0000 0.5000
Te2 Te 0.3333 0.6667 0.1669
```


Here is an optimized crystal structure of ScGaCu2 from OQMD via LeMat-Bulk. Energies are from PBE.

Output
The value obtained for the total energy is -4.511 eV/atom.

Structure (CIF):
```
data_ScGaCu2
_chemical_formula_sum 'Sc4 Ga4 Cu8'
_symmetry_space_group_name_H-M 'P n m a'
_symmetry_Int_Tables_number 62
_symmetry_space_group_name_Hall '-P 2ac 2n'
_cell_length_a 7.3226
_cell_length_b 6.5940
_cell_length_c 5.1752
_cell_angle_alpha 90.00
_cell_angle_beta 90.00
_cell_angle_gamma 90.00
loop_
_atom_site_label
_atom_site_type_symbol
_atom_site_fract_x
_atom_site_fract_y
_atom_site_fract_z
Sc1 Sc 0.0458 0.2500 0.1455
Ga1 Ga 0.1056 0.7500 0.3529
Cu1 Cu 0.1855 0.0525 0.5965
```